The following is a DFT calculation (PBE) of an optimized crystal structure of DyTmZnCd.

a b c (Å): 7.280 7.280 7.280
angles (deg): 90.00 90.00 90.00
Fractional coordinates of all 16 atoms:
Dy  0.000  0.000  0.000
Dy  0.000  0.500  0.500
Dy  0.500  0.000  0.500
Dy  0.500  0.500  0.000
Tm  0.000  0.000  0.500
Tm  0.000  0.500  0.000
Tm  0.500  0.000  0.000
Tm  0.500  0.500  0.500
Zn  0.250  0.250  0.250
Zn  0.250  0.750  0.750
Zn  0.750  0.250  0.750
Zn  0.750  0.750  0.250
Cd  0.250  0.250  0.750
Cd  0.250  0.750  0.250
Cd  0.750  0.250  0.250
Cd  0.750  0.750  0.750

Results
Distance to the lowest polymorph of the same formula: 1.8 kJ/mol of atoms
M_tot: 0.00 μB/cell
Space group: F-43m, No. 216
E: -3.130 eV per atom
E_form: -0.314 eV/atom